This record from Alexandria describes a geometry-optimized Cu2TcBH structure. The functional is GGA-PBE.

Cell and atoms, written as POSCAR:
```
Cu2TcBH
1.0
4.781 0.000 0.000
0.000 3.957 0.000
0.000 0.000 4.781
H B Tc Cu
1 1 1 2
Direct
0.500 0.500 0.500 H
0.000 0.500 0.000 B
0.000 0.000 0.000 Tc
0.000 0.000 0.500 Cu
0.500 0.000 0.000 Cu
```

electronic total energy: -3.9022 eV/atom